(1)
Entry from Alexandria: SbCOF2 after structural relaxation (PBE).

Cell lengths 4.3324, 4.3324, 4.1028 Å; angles 90.00, 90.00, 90.00 degrees
With the nearest neighbours (Å) after each atom.
Sites, in units of the cell vectors:
Sb 0.0000 0.0000 0.0000  2 O 2.05, 4 F 2.17
C 0.5000 0.5000 0.5000  8 F 2.98, 4 O 3.06
O 0.0000 0.0000 0.5000  2 Sb 2.05
F 0.0000 0.5000 0.0000  2 Sb 2.17
F 0.5000 0.0000 0.0000  2 Sb 2.17

## Properties
* ΔE_f (raw): 0.54 eV/f.u.
* Fermi-level density of states: 4.08 states/eV/cell
* theoretical density: 4.05 g/cm³


(2)
Entry from Alexandria: Ac4La5Nd4 after structural relaxation (PBE).

Cell lengths 5.3819, 10.0478, 10.0478 Å; angles 85.89, 74.47, 74.47 degrees
With the nearest neighbours (Å) after each atom.
Sites, in units of the cell vectors:
Ac 0.7696 0.3818 0.0790  6 La 3.76-3.83, 4 Nd 3.79-3.87, 2 Ac 3.85
Ac 0.2304 0.6182 0.9210  6 La 3.76-3.83, 4 Nd 3.79-3.87, 2 Ac 3.85
Ac 0.8486 0.9210 0.3818  6 La 3.76-3.83, 4 Nd 3.79-3.87, 2 Ac 3.85
Ac 0.1514 0.0790 0.6182  6 La 3.76-3.83, 4 Nd 3.79-3.87, 2 Ac 3.85
La 0.6931 0.8440 0.7697  3 Nd 3.76-3.83, 5 Ac 3.76-3.83, 4 La 3.81
La 0.3069 0.1560 0.2303  3 Nd 3.76-3.83, 5 Ac 3.76-3.83, 4 La 3.81
La 0.0000 0.0000 0.0000  4 Ac 3.77, 8 La 3.81
La 0.5372 0.7697 0.1560  3 Nd 3.76-3.83, 5 Ac 3.76-3.83, 4 La 3.81
La 0.4628 0.2303 0.8440  3 Nd 3.76-3.83, 5 Ac 3.76-3.83, 4 La 3.81
Nd 0.9241 0.4643 0.6875  5 Nd 3.70-3.75, 3 La 3.76-3.83, 4 Ac 3.79-3.87
Nd 0.6116 0.3125 0.4643  5 Nd 3.70-3.75, 3 La 3.76-3.83, 4 Ac 3.79-3.87
Nd 0.0759 0.5357 0.3125  5 Nd 3.70-3.75, 3 La 3.76-3.83, 4 Ac 3.79-3.87
Nd 0.3884 0.6875 0.5357  5 Nd 3.70-3.75, 3 La 3.76-3.83, 4 Ac 3.79-3.87

## Properties
* energy relative to the elements: 0.026 eV/atom
* Fermi-level density of states: 26.10 states/eV/cell
* theoretical density: 7.18 g/cm³


Copy entry 1 word for word.
Entry from Alexandria: SbCOF2 after structural relaxation (PBE).

Cell lengths 4.3324, 4.3324, 4.1028 Å; angles 90.00, 90.00, 90.00 degrees
With the nearest neighbours (Å) after each atom.
Sites, in units of the cell vectors:
Sb 0.0000 0.0000 0.0000  2 O 2.05, 4 F 2.17
C 0.5000 0.5000 0.5000  8 F 2.98, 4 O 3.06
O 0.0000 0.0000 0.5000  2 Sb 2.05
F 0.0000 0.5000 0.0000  2 Sb 2.17
F 0.5000 0.0000 0.0000  2 Sb 2.17

## Properties
* ΔE_f (raw): 0.54 eV/f.u.
* Fermi-level density of states: 4.08 states/eV/cell
* theoretical density: 4.05 g/cm³


Among the records above, which one has the lowest theoretical density?
SbCOF2